(1)
# ReS4Br

ReS4Br after structural relaxation (PBE, Alexandria).

Cell: 6.076 7.431 7.815 Å, 68.89 67.13 79.54°
Fractional positions:
1 Re 0.232 0.000 0.000
2 Re 0.768 0.000 0.000
3 S 0.014 0.712 0.101
4 S 0.120 0.101 0.716
5 S 0.388 0.140 0.162
6 S 0.494 0.714 0.138
7 S 0.506 0.286 0.862
8 S 0.612 0.860 0.838
9 S 0.880 0.899 0.284
10 S 0.986 0.288 0.899
11 Br 0.256 0.797 0.577
12 Br 0.744 0.203 0.423

Values from the calculation:
- Theoretical density: 4.323 g/cm³
- Energy relative to the elements, uncorrected: -0.110 eV per atom
- Crystal system: triclinic

(2)
# AlVAu2

AlVAu2 after structural relaxation (PBE, Alexandria).

Cell: 9.780 9.780 9.780 Å, 156.87 156.87 32.94°
Fractional positions:
1 Al 0.000 0.000 0.000
2 Al 0.750 0.250 0.500
3 V 0.250 0.750 0.500
4 V 0.500 0.500 0.000
5 Au 0.122 0.625 0.997
6 Au 0.375 0.372 0.497
7 Au 0.628 0.125 0.003
8 Au 0.875 0.878 0.503

Values from the calculation:
- DFT formation energy: 0.8 eV per formula unit
- Theoretical density: 10.870 g/cm³
- Crystal system: tetragonal

(3)
# Mn2VI2

Mn2VI2 after structural relaxation (PBE, Alexandria).

Cell: 8.542 8.542 8.542 Å, 155.19 155.19 35.38°
Fractional positions:
1 Mn 0.250 0.750 0.500
2 Mn 0.750 0.250 0.500
3 V 0.000 0.000 0.000
4 I 0.389 0.389 0.000
5 I 0.611 0.611 0.000

Values from the calculation:
- E above lowest polymorph: 0.0 kJ/mol of atoms
- Theoretical density: 6.280 g/cm³
- Energy relative to the elements, uncorrected: 0.746 eV per atom
- Crystal system: tetragonal

(4)
# CoSbOs2

CoSbOs2 after structural relaxation (PBE, Alexandria).

Cell: 5.385 5.385 5.385 Å, 147.60 131.52 59.52°
Fractional positions:
1 Co 0.000 0.000 0.000
2 Sb 0.500 0.500 0.000
3 Os 0.275 0.775 0.500
4 Os 0.725 0.225 0.500

Values from the calculation:
- E above lowest polymorph: 19.0 kJ/mol of atoms
- Theoretical density: 15.005 g/cm³
- Energy relative to the elements, uncorrected: 0.641 eV per atom
- Crystal system: orthorhombic

(5)
# ThPaSnAu

ThPaSnAu after structural relaxation (PBE, Alexandria).

Cell: 5.307 5.307 5.307 Å, 60.00 60.00 60.00°
Fractional positions:
1 Th 0.000 0.000 0.000
2 Pa 0.500 0.500 0.500
3 Sn 0.750 0.750 0.750
4 Au 0.250 0.250 0.250

Values from the calculation:
- DFT formation energy: -0.9 eV per formula unit
- Theoretical density: 12.239 g/cm³
- Crystal system: cubic

(6)
# CaZrP

CaZrP after structural relaxation (PBE, Alexandria).

Cell: 5.527 5.527 7.527 Å, 100.69 100.69 40.46°
Fractional positions:
1 Ca 0.121 0.121 0.337
2 Ca 0.879 0.879 0.663
3 Zr 0.371 0.371 0.053
4 Zr 0.629 0.629 0.947
5 P 0.186 0.186 0.735
6 P 0.814 0.814 0.265

Values from the calculation:
- DFT formation energy: -2.3 eV per formula unit
- Theoretical density: 3.684 g/cm³
- Crystal system: monoclinic

(7)
# PmUIr2

PmUIr2 after structural relaxation (PBE, Alexandria).

Cell: 4.907 4.907 4.907 Å, 60.00 60.00 60.00°
Fractional positions:
1 Pm 0.000 0.000 0.000
2 U 0.500 0.500 0.500
3 Ir 0.250 0.250 0.250
4 Ir 0.750 0.750 0.750

Values from the calculation:
- DFT formation energy: -1.8 eV per formula unit
- E above lowest polymorph: 19.6 kJ/mol of atoms
- Theoretical density: 15.249 g/cm³
- Crystal system: cubic

(8)
# SrIn2Rh

SrIn2Rh after structural relaxation (PBE, Alexandria).

Cell: 16.471 7.942 5.983 Å, 90.00 90.00 90.00°
Fractional positions:
1 Sr 0.103 0.250 0.240
2 Sr 0.137 0.750 0.038
3 Sr 0.363 0.250 0.538
4 Sr 0.397 0.750 0.740
5 Sr 0.603 0.250 0.260
6 Sr 0.637 0.750 0.462
7 Sr 0.863 0.250 0.962
8 Sr 0.897 0.750 0.760
9 In 0.042 0.057 0.732
10 In 0.042 0.443 0.732
11 In 0.212 0.552 0.539
12 In 0.212 0.948 0.539
13 In 0.288 0.052 0.039
14 In 0.288 0.448 0.039
15 In 0.458 0.557 0.232
16 In 0.458 0.943 0.232
17 In 0.542 0.057 0.768
18 In 0.542 0.443 0.768
19 In 0.712 0.552 0.961
20 In 0.712 0.948 0.961
21 In 0.788 0.052 0.461
22 In 0.788 0.448 0.461
23 In 0.958 0.557 0.268
24 In 0.958 0.943 0.268
25 Rh 0.071 0.750 0.514
26 Rh 0.187 0.250 0.771
27 Rh 0.313 0.750 0.271
28 Rh 0.429 0.250 0.014
29 Rh 0.571 0.750 0.986
30 Rh 0.687 0.250 0.729
31 Rh 0.813 0.750 0.229
32 Rh 0.929 0.250 0.486

Values from the calculation:
- DFT formation energy: -2.0 eV per formula unit
- Theoretical density: 7.131 g/cm³
- Crystal system: orthorhombic

These records have V values of 25.245 18.021 21.928 15.525 26.415 24.379 20.893 24.460 Å³ per atom, in the order they appear.